No. 1
DFT (PBE) results for a relaxed structure of Hf2BiBr.

The value obtained for the energy above the lowest structure with this stoichiometry is 0.0 meV/atom. The space group is Fm-3m (225). The uncorrected formation energy comes out at -0.08 eV per atom. As for the crystal system: cubic. As for the total DFT energy (no corrections): -6.44 eV per atom. For the density of states at the Fermi level, the calculation gives 0.5 states/eV/cell.

Cell lengths 5.0017, 5.0017, 5.0017 Å; angles 60.00, 60.00, 60.00 degrees
Positions (direct):
1 Bi 0.5000 0.5000 0.5000
2 Br 0.0000 0.0000 0.0000
3 Hf 0.2500 0.2500 0.2500
4 Hf 0.7500 0.7500 0.7500

***

No. 2
DFT (PBE) results for a relaxed structure of Hf2BiBr.

The value obtained for the energy above the lowest structure with this stoichiometry is 456.9 meV/atom. The space group is I-42d (122). The uncorrected formation energy comes out at 0.38 eV per atom. As for the crystal system: tetragonal. As for the total DFT energy (no corrections): -5.99 eV per atom. For the density of states at the Fermi level, the calculation gives 9.4 states/eV/cell.

Cell lengths 4.9079, 4.9079, 9.7611 Å; angles 75.44, 75.44, 90.00 degrees
Positions (direct):
1 Br 0.5000 0.5000 0.0000
2 Bi 0.7500 0.2500 0.5000
3 Hf 0.8750 0.8458 0.7500
4 Hf 0.5958 0.1250 0.2500
5 Br 0.2500 0.7500 0.5000
6 Hf 0.1542 0.6250 0.2500
7 Bi 0.0000 0.0000 0.0000
8 Hf 0.3750 0.4042 0.7500

***

No. 3
DFT (PBE) results for a relaxed structure of HfBi3Br.

The value obtained for the energy above the lowest structure with this stoichiometry is 903.8 meV/atom. The space group is Pm-3m (221). The uncorrected formation energy comes out at 1.03 eV per atom. As for the crystal system: cubic. As for the total DFT energy (no corrections): -3.62 eV per atom. For the density of states at the Fermi level, the calculation gives 4.5 states/eV/cell.

Cell lengths 5.5426, 5.5426, 5.5426 Å; angles 90.00, 90.00, 90.00 degrees
Positions (direct):
1 Bi 0.0000 0.5000 0.0000
2 Hf 0.5000 0.5000 0.5000
3 Bi 0.5000 0.0000 0.0000
4 Br 0.0000 0.0000 0.0000
5 Bi 0.0000 0.0000 0.5000

***

No. 4
DFT (PBE) results for a relaxed structure of HfBiBr.

The space group is Pmma (51). The uncorrected formation energy comes out at -0.38 eV per atom. As for the crystal system: orthorhombic. As for the total DFT energy (no corrections): -5.55 eV per atom. For the density of states at the Fermi level, the calculation gives 1.5 states/eV/cell.

Cell lengths 5.8280, 5.8280, 5.3975 Å; angles 89.99, 90.00, 90.00 degrees
Positions (direct):
1 Hf 0.7500 0.7502 0.4998
2 Br 0.2500 0.2513 0.0001
3 Hf 0.2500 0.2498 0.5002
4 Bi 0.7500 0.2499 0.5002
5 Br 0.7500 0.7487 0.9999
6 Bi 0.2500 0.7501 0.4998